Here is an optimized crystal structure of Dy2Mo from the Open Quantum Materials Database. Energies are from PBE.

Results
M_tot = 0.002 μB per atom
volume = 24.263 Å³/atom
formation enthalpy at 0 K = 1.167 eV per atom
ρ = 9.6 g/cm³

Cell: 8.351 8.351 8.351 Å, 90.00 90.00 90.00°
Space group Fd-3m (No. 227, origin choice 2)
Unique sites:
Dy 0.000 0.000 0.000 x16
Mo 0.125 0.125 0.625 x8